[1]
A relaxed structure of YZn3O. Source: Alexandria via LeMat-Bulk, functional GGA-PBE.

Output
- M_tot: 0.000 μB/f.u.
- Final energy: -9.19 eV per cell
- Polymorph energy (0 for the lowest one): 1.353 eV per atom
- ρ: 2.73 Mg/m³
- Energy relative to the elements, uncorrected: 1.2106 eV/atom

a = 5.679 Å, b = 5.679 Å, c = 5.679 Å
α = 90.00°, β = 90.00°, γ = 90.00°
Space group Pm-3m (No. 221)
Inequivalent atoms, fractional coordinates:
Y: 0.000 0.000 0.000 x1
Zn: 0.000 0.000 0.500 x3
O: 0.500 0.500 0.500 x1

[2]
A relaxed structure of Y2ZnO. Source: Alexandria via LeMat-Bulk, functional GGA-PBE.

Output
- M_tot: 0.000 μB/f.u.
- Final energy: -85.60 eV per cell
- Polymorph energy (0 for the lowest one): 0.856 eV per atom
- ρ: 5.47 Mg/m³
- Energy relative to the elements, uncorrected: -0.5597 eV/atom

a = 6.801 Å, b = 6.801 Å, c = 6.801 Å
α = 90.00°, β = 90.00°, γ = 90.00°
Space group Fm-3m (No. 225)
Inequivalent atoms, fractional coordinates:
Y: 0.250 0.250 0.250 x8
Zn: 0.000 0.000 0.000 x4
O: 0.000 0.000 0.500 x4

[3]
A relaxed structure of YZn2O. Source: Alexandria via LeMat-Bulk, functional GGA-PBE.

Output
- M_tot: 0.000 μB/f.u.
- Final energy: -70.69 eV per cell
- ρ: 5.49 Mg/m³
- Energy relative to the elements, uncorrected: -0.9256 eV/atom

a = 7.946 Å, b = 7.946 Å, c = 4.518 Å
α = 90.00°, β = 90.00°, γ = 90.00°
Space group I-42d (No. 122)
Inequivalent atoms, fractional coordinates:
Y: 0.000 0.000 0.000 x4
Zn: 0.192 0.250 0.625 x8
O: 0.000 0.000 0.500 x4

[4]
A relaxed structure of Y2ZnO. Source: Alexandria via LeMat-Bulk, functional GGA-PBE.

Output
- M_tot: 0.000 μB/f.u.
- Final energy: -99.29 eV per cell
- Polymorph energy (0 for the lowest one): 0.000 eV per atom
- ρ: 4.83 Mg/m³
- Energy relative to the elements, uncorrected: -1.4155 eV/atom

a = 6.662 Å, b = 6.662 Å, c = 8.037 Å
α = 90.00°, β = 90.00°, γ = 90.00°
Space group I-42d (No. 122)
Inequivalent atoms, fractional coordinates:
Y: 0.165 0.250 0.125 x8
Zn: 0.000 0.000 0.500 x4
O: 0.000 0.000 0.000 x4

[5]
A relaxed structure of YZrZn2O. Source: Alexandria via LeMat-Bulk, functional GGA-PBE.

Output
- M_tot: 1.847 μB/f.u.
- Final energy: -25.03 eV per cell
- ρ: 5.49 Mg/m³
- Energy relative to the elements, uncorrected: -0.5014 eV/atom

a = 4.823 Å, b = 4.823 Å, c = 4.250 Å
α = 90.00°, β = 90.00°, γ = 90.00°
Space group P4/mmm (No. 123)
Inequivalent atoms, fractional coordinates:
Y: 0.000 0.000 0.000 x1
Zr: 0.500 0.500 0.000 x1
Zn: 0.000 0.500 0.500 x2
O: 0.000 0.000 0.500 x1

[6]
A relaxed structure of Y2Zr2O7. Source: Alexandria via LeMat-Bulk, functional GGA-PBE.

Output
- M_tot: 0.000 μB/f.u.
- Final energy: -817.57 eV per cell
- ρ: 5.26 Mg/m³
- Energy relative to the elements, uncorrected: -3.4059 eV/atom

a = 10.605 Å, b = 10.605 Å, c = 10.605 Å
α = 90.00°, β = 90.00°, γ = 90.00°
Space group Fd-3m (No. 227, origin choice 2)
Inequivalent atoms, fractional coordinates:
Y: 0.000 0.000 0.000 x16
Zr: 0.000 0.000 0.500 x16
O: 0.091 0.375 0.875 x48
O: 0.125 0.125 0.125 x8

[7]
A relaxed structure of YZr4O9. Source: Alexandria via LeMat-Bulk, functional GGA-PBE.

Output
- M_tot: 1.006 μB/f.u.
- Final energy: -131.06 eV per cell
- ρ: 5.60 Mg/m³
- Energy relative to the elements, uncorrected: -3.2697 eV/atom

a = 5.252 Å, b = 6.168 Å, c = 6.341 Å
α = 80.71°, β = 69.04°, γ = 67.69°
Space group P1 (No. 1)
Inequivalent atoms, fractional coordinates:
Y: 0.000 0.000 0.000 x1
Zr: 0.251 0.428 0.208 x1
Zr: 0.357 0.849 0.430 x1
Zr: 0.644 0.246 0.550 x1
Zr: 0.755 0.660 0.794 x1
O: 0.000 0.627 0.005 x1
O: 0.052 0.168 0.279 x1
O: 0.231 0.497 0.540 x1
O: 0.397 0.739 0.119 x1
O: 0.422 0.978 0.722 x1
O: 0.572 0.093 0.291 x1
O: 0.648 0.343 0.883 x1
O: 0.731 0.582 0.480 x1
O: 0.946 0.939 0.667 x1

[8]
A relaxed structure of Y2Zr2O7. Source: Alexandria via LeMat-Bulk, functional GGA-PBE.

Output
- M_tot: 0.000 μB/f.u.
- Final energy: -204.05 eV per cell
- ρ: 4.22 Mg/m³
- Energy relative to the elements, uncorrected: -3.3903 eV/atom

a = 6.985 Å, b = 9.605 Å, c = 5.632 Å
α = 90.00°, β = 100.29°, γ = 90.00°
Space group C2/m (No. 12)
Inequivalent atoms, fractional coordinates:
Y: 0.000 0.190 0.000 x4
Zr: 0.244 0.000 0.603 x4
O: 0.000 0.500 0.500 x2
O: 0.059 0.000 0.269 x4
O: 0.231 0.327 0.198 x8

[9]
A relaxed structure of Y3ZrO. Source: Alexandria via LeMat-Bulk, functional GGA-PBE.

Output
- M_tot: 0.000 μB/f.u.
- Final energy: -28.21 eV per cell
- Polymorph energy (0 for the lowest one): 2.009 eV per atom
- ρ: 3.79 Mg/m³
- Energy relative to the elements, uncorrected: 0.9370 eV/atom

a = 5.471 Å, b = 5.471 Å, c = 5.471 Å
α = 90.00°, β = 90.00°, γ = 90.00°
Space group Pm-3m (No. 221)
Inequivalent atoms, fractional coordinates:
Y: 0.000 0.000 0.500 x3
Zr: 0.000 0.000 0.000 x1
O: 0.500 0.500 0.500 x1

[10]
A relaxed structure of YZrO2. Source: Alexandria via LeMat-Bulk, functional GGA-PBE.

Output
- M_tot: 0.000 μB/f.u.
- Final energy: -137.97 eV per cell
- ρ: 5.13 Mg/m³
- Energy relative to the elements, uncorrected: -2.3909 eV/atom

a = 5.161 Å, b = 5.161 Å, c = 10.306 Å
α = 90.00°, β = 90.00°, γ = 90.00°
Space group I-42d (No. 122)
Inequivalent atoms, fractional coordinates:
Y: 0.000 0.000 0.000 x4
Zr: 0.000 0.000 0.500 x4
O: 0.228 0.250 0.625 x8

[11]
A relaxed structure of YZrO2. Source: Alexandria via LeMat-Bulk, functional GGA-PBE.

Output
- M_tot: 0.000 μB/f.u.
- Final energy: -130.78 eV per cell
- ρ: 7.03 Mg/m³
- Energy relative to the elements, uncorrected: -1.9414 eV/atom

a = 5.852 Å, b = 5.852 Å, c = 5.852 Å
α = 90.00°, β = 90.00°, γ = 90.00°
Space group Fm-3m (No. 225)
Inequivalent atoms, fractional coordinates:
Y: 0.000 0.000 0.000 x4
Zr: 0.000 0.000 0.500 x4
O: 0.250 0.250 0.250 x8

[12]
A relaxed structure of Y6ZrO12. Source: Alexandria via LeMat-Bulk, functional GGA-PBE.

Output
- M_tot: 2.126 μB/f.u.
- Final energy: -506.93 eV per cell
- ρ: 5.03 Mg/m³
- Energy relative to the elements, uncorrected: -3.2708 eV/atom

a = 9.9745 Å, b = 9.9745 Å, c = 9.3880 Å
α = 90.00°, β = 90.00°, γ = 120.00°
Space group R-3 (No. 148, hexagonal axes)
Inequivalent atoms, fractional coordinates:
Y: 0.0526 0.2623 0.1535 x18
Zr: 0.0000 0.0000 0.5000 x3
O: 0.0396 0.2038 0.3907 x18
O: 0.0398 0.2210 0.8995 x18

[13]
A relaxed structure of Y3ZrO. Source: Alexandria via LeMat-Bulk, functional GGA-PBE.

Output
- M_tot: 0.000 μB/f.u.
- Final energy: -38.26 eV per cell
- Polymorph energy (0 for the lowest one): 0.000 eV per atom
- ρ: 5.43 Mg/m³
- Energy relative to the elements, uncorrected: -1.0721 eV/atom

a = 4.853 Å, b = 4.853 Å, c = 4.853 Å
α = 90.00°, β = 90.00°, γ = 90.00°
Space group Pm-3m (No. 221)
Inequivalent atoms, fractional coordinates:
Y: 0.000 0.000 0.500 x3
Zr: 0.500 0.500 0.500 x1
O: 0.000 0.000 0.000 x1

[14]
A relaxed structure of YZr5O11. Source: Alexandria via LeMat-Bulk, functional GGA-PBE.

Output
- M_tot: 1.000 μB/f.u.
- Final energy: -159.27 eV per cell
- ρ: 5.32 Mg/m³
- Energy relative to the elements, uncorrected: -3.2664 eV/atom

a = 7.534 Å, b = 3.527 Å, c = 8.499 Å
α = 90.00°, β = 94.77°, γ = 90.00°
Space group Pm (No. 6)
Inequivalent atoms, fractional coordinates:
Y: 0.000 0.000 0.000 x1
Zr: 0.079 0.500 0.370 x1
Zr: 0.328 0.000 0.659 x1
Zr: 0.415 0.500 0.030 x1
Zr: 0.658 0.000 0.321 x1
Zr: 0.737 0.500 0.688 x1
O: 0.162 0.500 0.126 x1
O: 0.176 0.500 0.620 x1
O: 0.224 0.000 0.412 x1
O: 0.265 0.000 0.902 x1
O: 0.495 0.500 0.786 x1
O: 0.514 0.500 0.276 x1
O: 0.573 0.000 0.559 x1
O: 0.574 0.000 0.069 x1
O: 0.823 0.500 0.457 x1
O: 0.862 0.000 0.762 x1
O: 0.914 0.000 0.246 x1

[15]
A relaxed structure of Y2Zr8O19. Source: Alexandria via LeMat-Bulk, functional GGA-PBE.

Output
- M_tot: 0.000 μB/f.u.
- Final energy: -271.04 eV per cell
- ρ: 5.69 Mg/m³
- Energy relative to the elements, uncorrected: -3.2939 eV/atom

a = 3.665 Å, b = 3.665 Å, c = 26.334 Å
α = 90.00°, β = 90.00°, γ = 90.00°
Space group P-4m2 (No. 115)
Inequivalent atoms, fractional coordinates:
Y: 0.000 0.500 0.058 x2
Zr: 0.000 0.500 0.254 x2
Zr: 0.000 0.500 0.451 x2
Zr: 0.000 0.500 0.647 x2
Zr: 0.000 0.500 0.845 x2
O: 0.000 0.000 0.000 x1
O: 0.000 0.000 0.114 x2
O: 0.000 0.000 0.213 x2
O: 0.000 0.000 0.310 x2
O: 0.000 0.000 0.406 x2
O: 0.000 0.000 0.500 x1
O: 0.500 0.500 0.097 x2
O: 0.500 0.500 0.196 x2
O: 0.500 0.500 0.297 x2
O: 0.500 0.500 0.398 x2
O: 0.500 0.500 0.500 x1

[16]
A relaxed structure of Y4Zr3O12. Source: Alexandria via LeMat-Bulk, functional GGA-PBE.

Output
- M_tot: 0.000 μB/f.u.
- Final energy: -177.03 eV per cell
- Polymorph energy (0 for the lowest one): 0.009 eV per atom
- ρ: 5.31 Mg/m³
- Energy relative to the elements, uncorrected: -3.4754 eV/atom

a = 6.432 Å, b = 6.456 Å, c = 6.470 Å
α = 98.88°, β = 99.64°, γ = 99.23°
Space group P1 (No. 1)
Inequivalent atoms, fractional coordinates:
Y: 0.000 0.000 0.000 x1
Y: 0.091 0.554 0.252 x1
Y: 0.534 0.298 0.175 x1
Y: 0.698 0.829 0.472 x1
Zr: 0.250 0.085 0.550 x1
Zr: 0.389 0.692 0.861 x1
Zr: 0.778 0.389 0.724 x1
O: 0.072 0.599 0.899 x1
O: 0.214 0.256 0.298 x1
O: 0.318 0.771 0.549 x1
O: 0.338 0.005 0.941 x1
O: 0.446 0.372 0.767 x1
O: 0.465 0.634 0.174 x1
O: 0.571 0.130 0.469 x1
O: 0.710 0.750 0.806 x1
O: 0.815 0.505 0.445 x1
O: 0.818 0.280 0.025 x1
O: 0.977 0.130 0.680 x1
O: 0.983 0.875 0.300 x1

[17]
A relaxed structure of Y2Zr2O7. Source: Alexandria via LeMat-Bulk, functional GGA-PBE.

Output
- M_tot: 0.005 μB/f.u.
- Final energy: -408.58 eV per cell
- ρ: 5.23 Mg/m³
- Energy relative to the elements, uncorrected: -3.4012 eV/atom

a = 7.888 Å, b = 5.544 Å, c = 13.855 Å
α = 90.00°, β = 98.47°, γ = 90.00°
Space group P2_1 (No. 4)
Inequivalent atoms, fractional coordinates:
Y: 0.134 0.000 0.059 x2
Y: 0.239 0.456 0.429 x2
Y: 0.287 0.920 0.634 x2
Y: 0.363 0.436 0.899 x2
Zr: 0.026 0.440 0.619 x2
Zr: 0.075 0.942 0.820 x2
Zr: 0.410 0.452 0.173 x2
Zr: 0.467 0.942 0.373 x2
O: 0.007 0.600 0.325 x2
O: 0.075 0.728 0.522 x2
O: 0.078 0.226 0.918 x2
O: 0.137 0.646 0.729 x2
O: 0.156 0.719 0.934 x2
O: 0.169 0.311 0.172 x2
O: 0.223 0.062 0.384 x2
O: 0.272 0.312 0.586 x2
O: 0.324 0.081 0.798 x2
O: 0.364 0.788 0.123 x2
O: 0.415 0.592 0.327 x2
O: 0.426 0.255 0.048 x2
O: 0.440 0.722 0.525 x2
O: 0.475 0.651 0.735 x2

[18]
A relaxed structure of Y4Zr3O12. Source: Alexandria via LeMat-Bulk, functional GGA-PBE.

Output
- M_tot: 0.000 μB/f.u.
- Final energy: -177.20 eV per cell
- Polymorph energy (0 for the lowest one): 0.000 eV per atom
- ρ: 5.25 Mg/m³
- Energy relative to the elements, uncorrected: -3.4842 eV/atom

a = 6.375 Å, b = 6.432 Å, c = 6.632 Å
α = 99.89°, β = 98.49°, γ = 99.53°
Space group P-1 (No. 2)
Inequivalent atoms, fractional coordinates:
Y: 0.114 0.301 0.134 x2
Y: 0.197 0.866 0.390 x2
Zr: 0.347 0.397 0.668 x2
Zr: 0.500 0.000 0.000 x1
O: 0.086 0.416 0.821 x2
O: 0.087 0.188 0.433 x2
O: 0.185 0.934 0.060 x2
O: 0.327 0.570 0.424 x2
O: 0.421 0.088 0.695 x2
O: 0.478 0.321 0.120 x2